(1)
{"formula": "LaTaPt2", "functional": "PBE", "state": "relaxed", "lattice_angstrom": [[-1.586, -2.746, 1.036], [2.893, -1.366, 0.809], [2.325, 1.547, 7.661]], "species": ["Ta", "Pt", "Pt", "La"], "fractional_positions": [[0.500, 0.250, 0.250], [0.000, 0.943, 0.057], [0.000, 0.557, 0.443], [0.500, 0.750, 0.750]], "density_g_cm3": 14.34, "polymorph_energy_mev_per_atom": 78, "ef_kj_per_mol_fu": -269, "dos_at_fermi_per_ev_cell": 3.524, "sg": "P2/m (10)"}

***

(2)
{"formula": "AsIrPt2", "functional": "PBE", "state": "relaxed", "lattice_angstrom": [[-0.217, -5.475, -0.079], [0.753, -4.746, -2.635], [4.053, -2.217, 0.906]], "species": ["As", "Pt", "Pt", "Ir"], "fractional_positions": [[0.512, 0.512, 0.451], [0.993, 0.993, 0.977], [0.764, 0.764, 0.769], [0.231, 0.231, 0.304]], "density_g_cm3": 17.32, "ef_kj_per_mol_fu": 25, "dos_at_fermi_per_ev_cell": 2.583, "sg": "Cm (8)"}

***

(3)
{"formula": "Li3CuAg", "functional": "PBE", "state": "relaxed", "lattice_angstrom": [[4.789, 0.000, 0.000], [0.000, 4.789, 0.000], [0.000, 0.000, 4.789]], "species": ["Li", "Li", "Li", "Cu", "Ag"], "fractional_positions": [[0.000, 0.000, 0.500], [0.500, 0.000, 0.000], [0.000, 0.500, 0.000], [0.500, 0.500, 0.500], [0.000, 0.000, 0.000]], "density_g_cm3": 2.91, "polymorph_energy_mev_per_atom": 469, "ef_kj_per_mol_fu": 177, "dos_at_fermi_per_ev_cell": 2.309, "sg": "Pm-3m (221)"}

***

(4)
{"formula": "LiPmSmDy", "functional": "PBE", "state": "relaxed", "lattice_angstrom": [[5.569, 0.000, 0.000], [2.785, 4.823, 0.000], [2.785, 1.608, 4.547]], "species": ["Dy", "Pm", "Li", "Sm"], "fractional_positions": [[0.250, 0.250, 0.250], [0.500, 0.500, 0.500], [0.000, 0.000, 0.000], [0.750, 0.750, 0.750]], "density_g_cm3": 6.32, "ef_kj_per_mol_fu": 77, "dos_at_fermi_per_ev_cell": 4.588, "sg": "F-43m (216)"}

***

(5)
{"formula": "La2SbRh", "functional": "PBE", "state": "relaxed", "lattice_angstrom": [[3.432, -3.868, 0.000], [3.432, 3.868, 0.000], [0.000, 0.000, 4.018]], "species": ["Sb", "La", "La", "Rh"], "fractional_positions": [[0.500, 0.500, 0.500], [0.500, 0.000, 0.000], [0.000, 0.500, 0.000], [0.000, 0.000, 0.500]], "density_g_cm3": 7.82, "formation_energy_uncorrected_kj_per_mol_atoms": -73, "dos_at_fermi_per_ev_cell": 2.478, "sg": "Cmmm (65)"}

***

(6)
{"formula": "HgIr3Pb", "functional": "PBE", "state": "relaxed", "lattice_angstrom": [[4.968, 0.000, 0.000], [0.000, 4.968, 0.000], [0.000, 0.000, 4.968]], "species": ["Ir", "Ir", "Ir", "Hg", "Pb"], "fractional_positions": [[0.000, 0.000, 0.500], [0.000, 0.500, 0.000], [0.500, 0.000, 0.000], [0.000, 0.000, 0.000], [0.500, 0.500, 0.500]], "density_g_cm3": 13.33, "polymorph_energy_mev_per_atom": 0, "ef_kj_per_mol_fu": 981, "dos_at_fermi_per_ev_cell": 6.296, "sg": "Pm-3m (221)"}

***

(7)
{"formula": "In2AgS", "functional": "PBE", "state": "relaxed", "lattice_angstrom": [[-1.839, 2.281, -2.305], [-3.310, 1.391, 1.003], [1.780, 7.250, 2.742]], "species": ["In", "In", "Ag", "S"], "fractional_positions": [[0.255, 0.255, 0.235], [0.079, 0.079, 0.762], [0.499, 0.499, 0.503], [0.667, 0.667, 0.999]], "density_g_cm3": 6.66, "formation_energy_uncorrected_kj_per_mol_atoms": -15, "dos_at_fermi_per_ev_cell": 0.886, "sg": "R3m (160)"}

***

(8)
{"formula": "PaSiPbO5", "functional": "PBE", "state": "relaxed", "lattice_angstrom": [[-2.223, -5.427, -1.330], [0.526, 0.197, 5.988], [-6.111, 5.192, -1.695]], "species": ["Pa", "Pa", "O", "O", "O", "O", "O", "O", "O", "O", "O", "O", "Si", "Si", "Pb", "Pb"], "fractional_positions": [[0.000, 0.000, 0.000], [0.000, 0.000, 0.500], [0.886, 0.307, 0.141], [0.693, 0.114, 0.359], [0.596, 0.763, 0.890], [0.404, 0.237, 0.110], [0.079, 0.921, 0.250], [0.114, 0.693, 0.859], [0.307, 0.886, 0.641], [0.763, 0.596, 0.390], [0.237, 0.404, 0.610], [0.921, 0.079, 0.750], [0.687, 0.313, 0.250], [0.313, 0.687, 0.750], [0.670, 0.330, 0.750], [0.330, 0.670, 0.250]], "density_g_cm3": 7.02, "formation_energy_uncorrected_kj_per_mol_atoms": -252, "dos_at_fermi_per_ev_cell": 4.783, "sg": "C2/c (15)"}

***

(9)
{"formula": "CaPm3Pr4Te8", "functional": "PBE", "state": "relaxed", "lattice_angstrom": [[-5.526, -5.072, -4.958], [-0.248, -6.165, 6.582], [-2.135, 8.548, 1.787]], "species": ["Te", "Te", "Te", "Te", "Te", "Te", "Te", "Te", "Pr", "Pr", "Pr", "Pr", "Pm", "Pm", "Pm", "Ca"], "fractional_positions": [[0.247, 0.743, 0.493], [0.753, 0.257, 0.507], [0.252, 0.255, 0.503], [0.754, 0.257, 0.003], [0.250, 0.257, 0.003], [0.246, 0.743, 0.997], [0.750, 0.743, 0.997], [0.748, 0.745, 0.497], [0.500, 0.000, 0.500], [0.500, 0.000, 0.000], [0.000, 0.000, 0.000], [0.000, 0.000, 0.500], [0.500, 0.500, 0.000], [0.500, 0.500, 0.500], [0.000, 0.500, 0.500], [0.000, 0.500, 0.000]], "density_g_cm3": 6.62, "formation_energy_uncorrected_kj_per_mol_atoms": -139, "dos_at_fermi_per_ev_cell": 9.780, "sg": "R-3m (166)"}

***

(10)
{"formula": "Dy4CdS7", "functional": "PBE", "state": "relaxed", "lattice_angstrom": [[-5.170, 3.246, -2.612], [-3.816, 0.931, -5.354], [-9.038, -7.119, 1.547]], "species": ["Dy", "Dy", "Dy", "Dy", "S", "S", "S", "S", "S", "S", "S", "Cd"], "fractional_positions": [[0.007, 0.007, 0.002], [0.701, 0.701, 0.190], [0.315, 0.315, 0.791], [0.110, 0.110, 0.572], [0.666, 0.666, 0.946], [0.477, 0.477, 0.530], [0.254, 0.254, 0.350], [0.042, 0.042, 0.219], [0.964, 0.964, 0.788], [0.347, 0.347, 0.047], [0.735, 0.735, 0.646], [0.883, 0.883, 0.419]], "density_g_cm3": 6.01, "formation_energy_uncorrected_kj_per_mol_atoms": -173, "sg": "Cm (8)"}

***

(11)
{"formula": "LaIr2Os", "functional": "PBE", "state": "relaxed", "lattice_angstrom": [[4.686, 0.000, 0.000], [2.343, 4.058, 0.000], [2.343, 1.353, 3.826]], "species": ["Ir", "Ir", "Os", "La"], "fractional_positions": [[0.750, 0.750, 0.750], [0.000, 0.000, 0.000], [0.250, 0.250, 0.250], [0.500, 0.500, 0.500]], "density_g_cm3": 16.29, "polymorph_energy_mev_per_atom": 490, "ef_kj_per_mol_fu": 206, "dos_at_fermi_per_ev_cell": 7.626, "sg": "F-43m (216)"}

***

(12)
{"formula": "RbCeGaI6", "functional": "PBE", "state": "relaxed", "lattice_angstrom": [[7.942, 0.000, 0.000], [0.000, 7.942, 0.000], [0.000, 0.000, 14.472]], "species": ["Ce", "Ce", "I", "I", "I", "I", "I", "I", "I", "I", "I", "I", "I", "I", "Rb", "Rb", "Ga", "Ga"], "fractional_positions": [[0.500, 0.500, 0.832], [0.000, 0.000, 0.332], [0.769, 0.231, 0.818], [0.295, 0.295, 0.694], [0.324, 0.324, 0.995], [0.705, 0.705, 0.694], [0.269, 0.269, 0.318], [0.176, 0.824, 0.495], [0.205, 0.795, 0.194], [0.731, 0.731, 0.318], [0.795, 0.205, 0.194], [0.676, 0.676, 0.995], [0.231, 0.769, 0.818], [0.824, 0.176, 0.495], [0.500, 0.500, 0.495], [0.000, 0.000, 0.995], [0.000, 0.000, 0.659], [0.500, 0.500, 0.159]], "density_g_cm3": 3.84, "formation_energy_uncorrected_kj_per_mol_atoms": -100, "sg": "P4_2nm (102)"}

***

(13)
{"formula": "HfCrRhCl2", "functional": "PBE", "state": "relaxed", "lattice_angstrom": [[-0.561, 4.276, -0.695], [-1.797, 0.407, 3.960], [4.802, 0.968, 2.080]], "species": ["Hf", "Cr", "Cl", "Cl", "Rh"], "fractional_positions": [[0.500, 0.500, 0.500], [0.000, 0.000, 0.000], [0.000, 0.500, 0.000], [0.500, 0.000, 0.000], [0.000, 0.000, 0.500]], "density_g_cm3": 6.61, "formation_energy_uncorrected_kj_per_mol_atoms": 30, "dos_at_fermi_per_ev_cell": 3.545, "sg": "P4/mmm (123)"}

***

(14)
{"formula": "SrWAu", "functional": "PBE", "state": "relaxed", "lattice_angstrom": [[-4.476, 5.673, -0.184], [-4.490, 4.733, -3.114], [-2.746, -1.318, 0.437]], "species": ["Sr", "Au", "W"], "fractional_positions": [[0.334, 0.334, 0.666], [0.020, 0.020, 0.980], [0.647, 0.647, 0.353]], "density_g_cm3": 11.92, "polymorph_energy_mev_per_atom": 0, "ef_kj_per_mol_fu": 186, "dos_at_fermi_per_ev_cell": 3.115, "sg": "I4mm (107)"}

***

(15)
{"formula": "Ac4IrAu2S", "functional": "PBE", "state": "relaxed", "lattice_angstrom": [[-3.440, 2.714, 0.354], [-4.212, -5.757, 3.212], [3.605, 3.827, 5.687]], "species": ["S", "Ac", "Ac", "Ac", "Ac", "Au", "Au", "Ir"], "fractional_positions": [[0.500, 0.500, 0.000], [0.000, 0.242, 0.766], [0.500, 0.771, 0.772], [0.000, 0.758, 0.234], [0.500, 0.229, 0.228], [0.000, 0.500, 0.500], [0.500, 0.000, 0.500], [0.000, 0.000, 0.000]], "density_g_cm3": 10.02, "formation_energy_uncorrected_kj_per_mol_atoms": -101, "dos_at_fermi_per_ev_cell": 5.421, "sg": "P2/m (10)"}

***

(16)
{"formula": "Ac2SnPb4", "functional": "PBE", "state": "relaxed", "lattice_angstrom": [[-2.461, 6.468, -0.248], [-6.434, -2.552, -0.234], [4.242, -1.860, 5.355]], "species": ["Ac", "Ac", "Pb", "Pb", "Pb", "Pb", "Sn"], "fractional_positions": [[0.786, 0.286, 0.571], [0.286, 0.786, 0.571], [0.786, 0.786, 0.072], [0.786, 0.286, 0.071], [0.286, 0.286, 0.071], [0.286, 0.786, 0.071], [0.786, 0.786, 0.572]], "density_g_cm3": 9.48, "ef_kj_per_mol_fu": -240, "dos_at_fermi_per_ev_cell": 4.715, "sg": "C2/m (12)"}

***

(17)
{"formula": "LiZnSnGe", "functional": "PBE", "state": "relaxed", "lattice_angstrom": [[4.783, 0.000, 0.000], [2.392, 4.142, 0.000], [2.392, 1.381, 3.906]], "species": ["Zn", "Sn", "Li", "Ge"], "fractional_positions": [[0.500, 0.500, 0.500], [0.750, 0.750, 0.750], [0.000, 0.000, 0.000], [0.250, 0.250, 0.250]], "density_g_cm3": 5.66, "ef_kj_per_mol_fu": -3, "dos_at_fermi_per_ev_cell": 1.856, "sg": "F-43m (216)"}

***

(18)
{"formula": "Pm2In5Ir3", "functional": "PBE", "state": "relaxed", "lattice_angstrom": [[-0.441, -0.923, 4.382], [6.301, -3.835, -0.174], [7.020, 11.498, 0.818]], "species": ["Pm", "Pm", "Pm", "Pm", "In", "In", "In", "In", "In", "In", "In", "In", "In", "In", "Ir", "Ir", "Ir", "Ir", "Ir", "Ir"], "fractional_positions": [[0.526, 0.295, 0.052], [0.176, 0.691, 0.352], [0.824, 0.191, 0.648], [0.474, 0.795, 0.948], [0.053, 0.625, 0.107], [0.709, 0.984, 0.418], [0.707, 0.388, 0.413], [0.126, 0.251, 0.253], [0.947, 0.125, 0.893], [0.293, 0.888, 0.587], [0.598, 0.908, 0.195], [0.874, 0.751, 0.747], [0.291, 0.484, 0.582], [0.402, 0.408, 0.805], [0.956, 0.508, 0.911], [0.389, 0.030, 0.778], [0.770, 0.684, 0.540], [0.044, 0.008, 0.089], [0.611, 0.530, 0.222], [0.230, 0.184, 0.460]], "density_g_cm3": 10.83, "ef_kj_per_mol_fu": -445, "dos_at_fermi_per_ev_cell": 10.064, "sg": "Cmc2_1 (36)"}

***

(19)
{"formula": "RbZn3Hg", "functional": "PBE", "state": "relaxed", "lattice_angstrom": [[-5.114, 1.460, 0.054], [-0.996, -3.627, 3.760], [1.069, 3.606, 3.761]], "species": ["Zn", "Zn", "Zn", "Hg", "Rb"], "fractional_positions": [[0.000, 0.500, 0.000], [0.500, 0.000, 0.000], [0.000, 0.000, 0.500], [0.000, 0.000, 0.000], [0.500, 0.500, 0.500]], "density_g_cm3": 5.32, "polymorph_energy_mev_per_atom": 0, "ef_kj_per_mol_fu": 96, "dos_at_fermi_per_ev_cell": 2.711, "sg": "Pm-3m (221)"}

***

(20)
{"formula": "CePmSc2Se4", "functional": "PBE", "state": "relaxed", "lattice_angstrom": [[3.986, 0.000, 0.000], [0.000, 7.110, -0.215], [0.000, 2.432, 6.487]], "species": ["Sc", "Sc", "Se", "Se", "Se", "Se", "Ce", "Pm"], "fractional_positions": [[0.500, 0.000, 0.500], [0.000, 0.000, 0.000], [0.500, 0.776, 0.241], [0.500, 0.224, 0.759], [0.000, 0.776, 0.741], [0.000, 0.224, 0.259], [0.500, 0.500, 0.000], [0.000, 0.500, 0.500]], "density_g_cm3": 6.17, "formation_energy_uncorrected_kj_per_mol_atoms": -164, "dos_at_fermi_per_ev_cell": 9.029, "sg": "P2/m (10)"}

***

For reference, calculated volume by record: 20.55; 15.76; 21.97; 30.53; 26.67; 24.53; 23.04; 16.15; 32.29; 22.74; 18.19; 50.71; 20.31; 21.75; 31.62; 35.07; 19.35; 22.09; 30.09; 23.24 Å³ per atom.
For reference, total moment by record: 0.0; 0.0; 0.0; 0.0; 0.0; 0.7; 0.0; 2.0; 0.0; 0.0; 1.3; 0.0; 3.8; 0.0; 0.0; 0.0; 0.0; 0.0; 0.0; 1.0 Bohr magnetons per cell.
For reference, energy by record: -7.91; -6.33; -2.17; -3.80; -6.09; -4.09; -3.27; -8.04; -5.23; -5.81; -7.93; -3.18; -5.81; -5.33; -5.55; -4.22; -2.96; -5.44; -0.82; -6.36 eV/atom.